The following is a PBE calculation of Rb2CeBr3Cl3 after structural relaxation, from the Alexandria database.

abc: 4.394 8.546 8.546
angles: 120.00 90.00 90.00
Sites, in units of the cell vectors:
1 Rb 0.500 0.333 0.667
2 Rb 0.500 0.667 0.333
3 Ce 0.000 0.000 0.000
4 Br 0.000 0.000 0.353
5 Br 0.000 0.647 0.647
6 Br 0.000 0.353 0.000
7 Cl 0.500 0.779 0.000
8 Cl 0.500 0.221 0.221
9 Cl 0.500 0.000 0.779

E_tot = -34.424 eV per cell
ρ = 3.926 g cm⁻³
formation energy (no corrections) = -1.78 eV/atom
D(E_F) = 2.4 states/eV per cell

=====

The following is a PBE calculation of BPtN3 after structural relaxation, from the Alexandria database.

abc: 3.420 3.420 3.420
angles: 90.00 90.00 90.00
Sites, in units of the cell vectors:
1 B 0.000 0.000 0.000
2 Pt 0.500 0.500 0.500
3 N 0.000 0.500 0.000
4 N 0.000 0.000 0.500
5 N 0.500 0.000 0.000

E_tot = -29.325 eV per cell
ρ = 10.292 g cm⁻³
formation energy (no corrections) = 1.67 eV/atom
D(E_F) = 1.6 states/eV per cell